Version w
BaFeS2N | PBE | optimized geometry

Cell lengths 5.029, 5.029, 3.644 Å; angles 90.00, 90.00, 90.00 degrees
Fractional coordinates of all 5 atoms:
1 Ba 0.000 0.000 0.000
2 Fe 0.500 0.500 0.500
3 S 0.000 0.500 0.500
4 S 0.500 0.000 0.500
5 N 0.500 0.500 0.000

Values from the calculation:
* density of states at the Fermi level: 4.00 states/eV/cell

=====

Version x
BaFeS2N | PBE | optimized geometry

Cell lengths 5.807, 5.807, 5.083 Å; angles 90.00, 90.00, 90.00 degrees
Fractional coordinates of all 5 atoms:
1 Ba 0.000 0.000 0.000
2 Fe 0.500 0.500 0.500
3 S 0.000 0.500 0.000
4 S 0.500 0.000 0.000
5 N 0.000 0.000 0.500

Values from the calculation:
* density of states at the Fermi level: 10.42 states/eV/cell

=====

Verdict on stability: version x comes out at the bottom.

=====

Version w
BaFeTe2N | PBE | optimized geometry

Cell lengths 6.465, 6.465, 4.676 Å; angles 90.00, 90.00, 90.00 degrees
Fractional coordinates of all 5 atoms:
1 Ba 0.000 0.000 0.000
2 Fe 0.500 0.500 0.500
3 Te 0.000 0.500 0.000
4 Te 0.500 0.000 0.000
5 N 0.000 0.000 0.500

Values from the calculation:
* density of states at the Fermi level: 9.74 states/eV/cell

=====

Version x
BaFeTe2N | PBE | optimized geometry

Cell lengths 5.803, 5.803, 3.552 Å; angles 90.00, 90.00, 90.00 degrees
Fractional coordinates of all 5 atoms:
1 Ba 0.000 0.000 0.000
2 Fe 0.500 0.500 0.500
3 Te 0.000 0.500 0.500
4 Te 0.500 0.000 0.500
5 N 0.500 0.500 0.000

Values from the calculation:
* density of states at the Fermi level: 5.65 states/eV/cell

=====

Verdict on stability: version w comes out at the bottom.

=====

Version w
BaNbFe2 | PBE | optimized geometry

Cell lengths 8.674, 8.674, 8.674 Å; angles 146.92, 146.92, 47.48 degrees
Fractional coordinates of all 8 atoms:
1 Ba 0.375 0.625 0.750
2 Ba 0.625 0.375 0.250
3 Nb 0.125 0.875 0.250
4 Nb 0.875 0.125 0.750
5 Fe 0.000 0.000 0.000
6 Fe 0.000 0.000 0.500
7 Fe 0.000 0.500 0.000
8 Fe 0.500 0.000 0.500

Values from the calculation:
* density of states at the Fermi level: 12.09 states/eV/cell

=====

Version x
BaNbFe2 | PBE | optimized geometry

Cell lengths 4.685, 4.685, 4.685 Å; angles 60.00, 60.00, 60.00 degrees
Fractional coordinates of all 4 atoms:
1 Ba 0.000 0.000 0.000
2 Nb 0.500 0.500 0.500
3 Fe 0.250 0.250 0.250
4 Fe 0.750 0.750 0.750

Values from the calculation:
* density of states at the Fermi level: 6.26 states/eV/cell

=====

Verdict on stability: version x comes out at the bottom.

=====

Version w
BaFeNi2 | PBE | optimized geometry

Cell lengths 3.140, 3.140, 7.292 Å; angles 90.00, 90.00, 90.00 degrees
Fractional coordinates of all 4 atoms:
1 Ba 0.000 0.000 0.000
2 Fe 0.000 0.000 0.500
3 Ni 0.500 0.500 0.335
4 Ni 0.500 0.500 0.665

Values from the calculation:
* density of states at the Fermi level: 3.93 states/eV/cell

=====

Version x
BaFeNi2 | PBE | optimized geometry

Cell lengths 3.500, 3.761, 6.460 Å; angles 90.00, 104.95, 90.00 degrees
Fractional coordinates of all 4 atoms:
1 Ba 0.000 0.000 0.000
2 Fe 0.743 0.500 0.459
3 Ni 0.264 0.000 0.489
4 Ni 0.363 0.500 0.712

Values from the calculation:
* density of states at the Fermi level: 3.87 states/eV/cell

=====

Verdict on stability: version x comes out at the bottom.

=====

Version w
BaFeNi2 | PBE | optimized geometry

Cell lengths 4.155, 4.155, 6.039 Å; angles 110.24, 110.24, 60.00 degrees
Fractional coordinates of all 4 atoms:
1 Ba 0.000 0.000 0.000
2 Fe 0.500 0.500 0.500
3 Ni 0.185 0.185 0.555
4 Ni 0.815 0.815 0.445

Values from the calculation:
* density of states at the Fermi level: 4.03 states/eV/cell

=====

Version x
BaFeNi2 | PBE | optimized geometry

Cell lengths 3.215, 3.215, 7.172 Å; angles 90.00, 90.00, 90.00 degrees
Fractional coordinates of all 4 atoms:
1 Ba 0.000 0.000 0.000
2 Fe 0.500 0.500 0.370
3 Ni 0.000 0.000 0.504
4 Ni 0.500 0.500 0.685

Values from the calculation:
* density of states at the Fermi level: 4.88 states/eV/cell

=====

Version y
BaFeNi2 | PBE | optimized geometry

Cell lengths 5.114, 5.114, 5.114 Å; angles 133.86, 111.05, 87.01 degrees
Fractional coordinates of all 4 atoms:
1 Ba 0.000 0.000 0.000
2 Fe 0.500 0.500 0.000
3 Ni 0.332 0.832 0.500
4 Ni 0.668 0.168 0.500

Values from the calculation:
* density of states at the Fermi level: 4.91 states/eV/cell

=====

Verdict on stability: version y comes out at the bottom.

=====

Version w
BaFeNi2 | PBE | optimized geometry

Cell lengths 8.558, 8.558, 8.558 Å; angles 147.06, 147.06, 47.28 degrees
Fractional coordinates of all 8 atoms:
1 Ba 0.375 0.625 0.750
2 Ba 0.625 0.375 0.250
3 Fe 0.125 0.875 0.250
4 Fe 0.875 0.125 0.750
5 Ni 0.000 0.000 0.000
6 Ni 0.000 0.000 0.500
7 Ni 0.000 0.500 0.000
8 Ni 0.500 0.000 0.500

Values from the calculation:
* density of states at the Fermi level: 9.01 states/eV/cell

=====

Version x
BaFeNi2 | PBE | optimized geometry

Cell lengths 5.318, 5.318, 5.318 Å; angles 135.50, 135.50, 64.75 degrees
Fractional coordinates of all 4 atoms:
1 Ba 0.000 0.000 0.000
2 Fe 0.250 0.750 0.500
3 Ni 0.500 0.500 0.000
4 Ni 0.750 0.250 0.500

Values from the calculation:
* density of states at the Fermi level: 4.12 states/eV/cell

=====

Verdict on stability: version x comes out at the bottom.

=====

Version w
BaFeNi2 | PBE | optimized geometry

Cell lengths 4.741, 4.741, 4.741 Å; angles 60.00, 60.00, 60.00 degrees
Fractional coordinates of all 4 atoms:
1 Ba 0.000 0.000 0.000
2 Fe 0.500 0.500 0.500
3 Ni 0.250 0.250 0.250
4 Ni 0.750 0.750 0.750

Values from the calculation:
* density of states at the Fermi level: 4.91 states/eV/cell

=====

Version x
BaFeNi2 | PBE | optimized geometry

Cell lengths 5.545, 5.545, 5.545 Å; angles 146.79, 124.52, 66.21 degrees
Fractional coordinates of all 4 atoms:
1 Ba 0.000 0.000 0.000
2 Fe 0.308 0.808 0.500
3 Ni 0.502 0.502 0.000
4 Ni 0.705 0.205 0.500

Values from the calculation:
* density of states at the Fermi level: 3.83 states/eV/cell

=====

Version y
BaFeNi2 | PBE | optimized geometry

Cell lengths 4.148, 4.148, 6.062 Å; angles 110.10, 110.10, 60.02 degrees
Fractional coordinates of all 4 atoms:
1 Ba 0.000 0.000 0.000
2 Fe 0.816 0.816 0.449
3 Ni 0.182 0.182 0.549
4 Ni 0.494 0.494 0.485

Values from the calculation:
* density of states at the Fermi level: 5.18 states/eV/cell

=====

Verdict on stability: version w comes out at the bottom.

=====

Version w
Ba2FeNi | PBE | optimized geometry

Cell lengths 8.210, 8.210, 8.210 Å; angles 150.45, 148.65, 43.62 degrees
Fractional coordinates of all 4 atoms:
1 Ba 0.000 0.000 0.000
2 Ba 0.756 0.256 0.500
3 Fe 0.348 0.848 0.500
4 Ni 0.408 0.408 0.000

Values from the calculation:
* density of states at the Fermi level: 5.11 states/eV/cell

=====

Version x
Ba2FeNi | PBE | optimized geometry

Cell lengths 6.900, 6.900, 6.900 Å; angles 104.12, 104.12, 120.80 degrees
Fractional coordinates of all 8 atoms:
1 Ba 0.093 0.625 0.968
2 Ba 0.375 0.343 0.468
3 Ba 0.657 0.125 0.032
4 Ba 0.875 0.907 0.532
5 Fe 0.250 0.750 0.500
6 Fe 0.500 0.500 0.000
7 Ni 0.000 0.000 0.000
8 Ni 0.750 0.250 0.500

Values from the calculation:
* density of states at the Fermi level: 9.16 states/eV/cell

=====

Version y
Ba2FeNi | PBE | optimized geometry

Cell lengths 3.852, 3.848, 7.860 Å; angles 90.00, 91.47, 90.00 degrees
Fractional coordinates of all 4 atoms:
1 Ba 0.005 0.000 0.234
2 Ba 0.995 0.000 0.766
3 Fe 0.500 0.500 0.500
4 Ni 0.500 0.500 0.000

Values from the calculation:
* density of states at the Fermi level: 5.89 states/eV/cell

=====

Version z
Ba2FeNi | PBE | optimized geometry

Cell lengths 6.502, 6.502, 6.502 Å; angles 139.50, 139.50, 58.61 degrees
Fractional coordinates of all 4 atoms:
1 Ba 0.000 0.000 0.000
2 Ba 0.750 0.250 0.500
3 Fe 0.250 0.750 0.500
4 Ni 0.500 0.500 0.000

Values from the calculation:
* density of states at the Fermi level: 6.14 states/eV/cell

=====

Verdict on stability: version x comes out at the bottom.